Entry 1:
# GGA-PBE HgSb2Pb, relaxed
data_HgSb2Pb
_space_group_name_H-M_alt 'P 1'
_space_group_IT_number 1
_space_group_name_Hall 'P 1'
_cell_length_a 5.4073
_cell_length_b 5.4073
_cell_length_c 5.4073
_cell_angle_alpha 60.00
_cell_angle_beta 60.00
_cell_angle_gamma 60.00
loop_
_atom_site_label
_atom_site_type_symbol
_atom_site_fract_x
_atom_site_fract_y
_atom_site_fract_z
Hg1 Hg 0.0000 0.0000 0.0000
Sb1 Sb 0.2500 0.2500 0.2500
Sb2 Sb 0.5000 0.5000 0.5000
Pb1 Pb 0.7500 0.7500 0.7500
# * symmetry: No. 216



Entry 2:
# GGA-PBE Hg2SbPb, relaxed
data_Hg2SbPb
_space_group_name_H-M_alt 'P 1'
_space_group_IT_number 1
_space_group_name_Hall 'P 1'
_cell_length_a 5.3849
_cell_length_b 5.3849
_cell_length_c 5.3849
_cell_angle_alpha 60.00
_cell_angle_beta 60.00
_cell_angle_gamma 60.00
loop_
_atom_site_label
_atom_site_type_symbol
_atom_site_fract_x
_atom_site_fract_y
_atom_site_fract_z
Hg1 Hg 0.0000 0.0000 0.0000
Hg2 Hg 0.2500 0.2500 0.2500
Sb1 Sb 0.7500 0.7500 0.7500
Pb1 Pb 0.5000 0.5000 0.5000
# * symmetry: No. 216



Entry 3:
# GGA-PBE ScHg2Pb, relaxed
data_ScHg2Pb
_space_group_name_H-M_alt 'P 1'
_space_group_IT_number 1
_space_group_name_Hall 'P 1'
_cell_length_a 5.1785
_cell_length_b 5.1785
_cell_length_c 5.1785
_cell_angle_alpha 60.00
_cell_angle_beta 60.00
_cell_angle_gamma 60.00
loop_
_atom_site_label
_atom_site_type_symbol
_atom_site_fract_x
_atom_site_fract_y
_atom_site_fract_z
Sc1 Sc 0.0000 0.0000 0.0000
Hg1 Hg 0.2500 0.2500 0.2500
Hg2 Hg 0.5000 0.5000 0.5000
Pb1 Pb 0.7500 0.7500 0.7500
# * symmetry: No. 216



Entry 4:
# GGA-PBE Sc2Hg2Pb3, relaxed
data_Sc2Hg2Pb3
_space_group_name_H-M_alt 'P 1'
_space_group_IT_number 1
_space_group_name_Hall 'P 1'
_cell_length_a 8.7054
_cell_length_b 8.7054
_cell_length_c 8.7054
_cell_angle_alpha 33.71
_cell_angle_beta 33.71
_cell_angle_gamma 33.71
loop_
_atom_site_label
_atom_site_type_symbol
_atom_site_fract_x
_atom_site_fract_y
_atom_site_fract_z
Sc1 Sc 0.0000 0.0000 0.0000
Sc2 Sc 0.4360 0.4360 0.4360
Hg1 Hg 0.1237 0.1237 0.1237
Hg2 Hg 0.7161 0.7161 0.7161
Pb1 Pb 0.3036 0.3036 0.3036
Pb2 Pb 0.5735 0.5735 0.5735
Pb3 Pb 0.8490 0.8490 0.8490
# * symmetry: No. 160



no.,mass density (g/cm3),E (eV per atom)
1,9.7,-2.9259
2,11.0,-2.0526
3,11.0,-2.7039
4,10.2,-3.6284